[1]
This record from the Alexandria database describes a relaxed structure of PrNdHg2. The functional is PBE.

a = 5.448 Å, b = 5.448 Å, c = 5.448 Å
α = 60.00°, β = 60.00°, γ = 60.00°
Each line ends with the local moment (μB).
Fractional positions:
1 Pr 0.000 0.000 0.000  0.22
2 Nd 0.500 0.500 0.500  0.23
3 Hg 0.250 0.250 0.250  0.02
4 Hg 0.750 0.750 0.750  0.02

## Properties
For the energy relative to the lowest polymorph listed for this composition, the calculation gives 0.0 meV per atom. The value obtained for the total energy is -12.0 eV for the cell shown. Its spin magnetization is 0.954 μB per cell. As for the space-group type: No. 225. The formation enthalpy at 0 K comes out at -0.4735 eV/atom.

[2]
This record from the Alexandria database describes a relaxed structure of V2AgAs2. The functional is PBE.

a = 7.067 Å, b = 7.067 Å, c = 3.180 Å
α = 90.00°, β = 90.00°, γ = 90.00°
Each line ends with the local moment (μB).
Fractional positions:
1 As 0.156 0.656 0.500  -0.01
2 As 0.656 0.844 0.500  -0.01
3 As 0.844 0.344 0.500  -0.01
4 As 0.344 0.156 0.500  -0.01
5 Ag 0.000 0.000 0.000  0.00
6 Ag 0.500 0.500 0.000  0.00
7 V 0.369 0.869 0.000  0.27
8 V 0.869 0.631 0.000  0.27
9 V 0.631 0.131 0.000  0.27
10 V 0.131 0.369 0.000  0.27

## Properties
For the energy relative to the lowest polymorph listed for this composition, the calculation gives 0.0 meV per atom. The value obtained for the total energy is -62.0 eV for the cell shown. Its spin magnetization is 1.174 μB per cell. As for the space-group type: No. 127. The formation enthalpy at 0 K comes out at -0.1197 eV/atom.

[3]
This record from the Alexandria database describes a relaxed structure of DyHoMgNi. The functional is PBE.

a = 5.036 Å, b = 5.036 Å, c = 5.036 Å
α = 60.00°, β = 60.00°, γ = 60.00°
Fractional positions:
1 Ni 0.000 0.000 0.000
2 Mg 0.500 0.500 0.500
3 Ho 0.750 0.750 0.750
4 Dy 0.250 0.250 0.250

## Properties
For the energy relative to the lowest polymorph listed for this composition, the calculation gives 135.5 meV per atom. The value obtained for the total energy is -17.0 eV for the cell shown. Its spin magnetization is 0.000 μB per cell. As for the space-group type: No. 216. The formation enthalpy at 0 K comes out at -0.1203 eV/atom.